Entry 1:
6
Lattice="4.491 -2.011 0.000 4.491 2.011 0.000 -1.810 0.000 5.461" Properties=species:S:1:pos:R:3 comment="TlPd5 | Alexandria | PBE | relaxed" total_energy_ha_per_atom=-0.1783 dos_ef_per_ev_cell=7.9 magmom_total_mub_per_cell=0.000 delta_e_f_kj_per_mol_atoms=-12.65 pbc="T T T"
Tl 0.000 0.000 0.000
Pd -0.905 0.000 2.731
Pd 1.772 0.000 3.612
Pd 2.690 0.000 0.945
Pd 4.482 0.000 4.516
Pd 5.401 0.000 1.849

Entry 2:
4
Lattice="3.687 0.000 0.000 0.000 4.449 0.000 0.000 0.000 4.668" Properties=species:S:1:pos:R:3 comment="Mg2ZrCu | Alexandria | PBE | relaxed" total_energy_ha_per_atom=-0.1435 dos_ef_per_ev_cell=3.5 magmom_total_mub_per_cell=0.000 delta_e_f_kj_per_mol_atoms=5.06 pbc="T T T"
Mg 0.000 0.000 0.000
Mg 1.844 2.224 0.000
Zr 0.000 2.224 2.334
Cu 1.844 0.000 2.334

Entry 3:
9
Lattice="7.197 -3.934 0.000 7.197 3.934 0.000 -0.949 0.000 3.629" Properties=species:S:1:pos:R:3 comment="LaIn2Ag6 | Alexandria | PBE | relaxed" total_energy_ha_per_atom=-0.1138 dos_ef_per_ev_cell=4.3 magmom_total_mub_per_cell=0.000 delta_e_f_kj_per_mol_atoms=-3.87 pbc="T T T"
La 0.000 0.000 0.000
In 4.355 0.000 3.126
In 9.090 0.000 0.503
Ag 9.143 -2.515 2.469
Ag 4.303 2.515 1.160
Ag 6.723 1.363 1.814
Ag 9.143 2.515 2.469
Ag 4.303 -2.515 1.160
Ag 6.723 -1.363 1.814

Entry 4:
10
Lattice="6.811 -3.909 0.000 6.811 3.909 0.000 -4.365 0.000 6.961" Properties=species:S:1:pos:R:3 comment="Sr6Bi3N | Alexandria | PBE | relaxed" total_energy_ha_per_atom=-0.1382 raw_formation_energy_ev_per_atom=-0.75 dos_ef_per_ev_cell=1.8 magmom_total_mub_per_cell=0.000 pbc="T T T"
Sr 3.117 2.066 4.574
Sr -0.549 0.000 5.728
Sr 6.140 2.066 2.387
Sr 3.117 -2.066 4.574
Sr 9.805 0.000 1.233
Sr 6.140 -2.066 2.387
Bi 2.393 0.000 1.878
Bi 6.811 0.000 0.000
Bi 6.863 0.000 5.083
N -2.182 0.000 3.480

Entry 5:
7
Lattice="2.835 1.637 8.120 -2.835 1.637 8.120 0.000 -3.274 8.120" Properties=species:S:1:pos:R:3 comment="Pm2Dy2HoEr2 | Alexandria | PBE | relaxed" total_energy_ha_per_atom=-0.1649 dos_ef_per_ev_cell=17.8 magmom_total_mub_per_cell=0.010 delta_e_f_kj_per_mol_atoms=13.74 pbc="T T T"
Pm 0.000 0.000 3.378
Pm 0.000 0.000 20.983
Dy 0.000 0.000 6.911
Dy 0.000 0.000 17.449
Ho 0.000 0.000 0.000
Er 0.000 0.000 10.379
Er 0.000 0.000 13.981

Entry 6:
5
Lattice="5.916 0.000 0.000 0.000 5.916 0.000 0.000 0.000 5.609" Properties=species:S:1:pos:R:3 comment="LaAs2SeBr | Alexandria | PBE | relaxed" relative_energy_mev_per_atom=547 total_energy_ha_per_atom=-0.1294 raw_formation_energy_ev_per_atom=0.36 dos_ef_per_ev_cell=7.3 magmom_total_mub_per_cell=0.784 pbc="T T T"
La 0.000 0.000 0.000
As 0.000 2.958 0.000
As 2.958 0.000 0.000
Se 0.000 0.000 2.804
Br 2.958 2.958 2.804

Entry 7:
26
Lattice="5.217 0.000 0.000 2.422 8.641 0.000 2.002 0.954 9.441" Properties=species:S:1:pos:R:3 comment="KZn2P2O8 | Alexandria | PBE | relaxed" total_energy_ha_per_atom=-0.2235 raw_formation_energy_ev_per_atom=-1.92 dos_ef_per_ev_cell=14.4 magmom_total_mub_per_cell=2.180 pbc="T T T"
K 2.179 2.389 3.075
K 7.463 7.206 6.366
Zn 2.518 1.478 7.293
Zn 4.334 4.155 8.410
Zn 5.307 5.440 1.031
Zn 7.124 8.118 2.148
P 4.557 7.296 8.960
P 4.534 7.196 3.604
P 5.108 2.399 5.837
P 5.085 2.299 0.481
O 2.614 3.047 8.534
O 3.037 7.586 3.662
O 4.251 8.484 8.038
O 3.890 6.041 8.339
O 5.042 6.970 5.042
O 6.073 7.125 9.164
O 5.327 8.333 2.902
O 4.714 5.847 2.862
O 4.928 3.748 6.579
O 4.314 1.262 6.539
O 3.568 2.471 0.277
O 4.599 2.625 4.399
O 5.751 3.554 1.102
O 5.390 1.111 1.403
O 6.604 2.009 5.779
O 7.027 6.548 0.907

Entry 8:
5
Lattice="5.754 0.000 0.000 0.000 5.754 0.000 0.000 0.000 5.633" Properties=species:S:1:pos:R:3 comment="ScMnTeI2 | Alexandria | PBE | relaxed" relative_energy_mev_per_atom=0 total_energy_ha_per_atom=-0.1653 raw_formation_energy_ev_per_atom=-0.15 dos_ef_per_ev_cell=1.6 magmom_total_mub_per_cell=5.975 pbc="T T T"
Sc 0.000 0.000 0.000
Mn 2.877 2.877 2.816
Te 0.000 0.000 2.816
I 0.000 2.877 0.000
I 2.877 0.000 0.000

Entry 9:
10
Lattice="4.236 2.446 7.255 -4.236 2.446 7.255 0.000 -4.892 7.255" Properties=species:S:1:pos:R:3 comment="NaSmIn2I6 | Alexandria | PBE | relaxed" total_energy_ha_per_atom=-0.1129 raw_formation_energy_ev_per_atom=-0.99 dos_ef_per_ev_cell=0.0 magmom_total_mub_per_cell=0.000 pbc="T T T"
Na 0.000 0.000 0.000
Sm 0.000 0.000 10.755
In 0.000 0.000 6.401
In 0.000 0.000 17.410
I -2.449 0.278 8.839
I -1.655 -1.989 12.436
I 0.984 -2.260 8.839
I -0.895 2.428 12.436
I 1.466 1.982 8.839
I 2.550 -0.439 12.436